First-principles (PBE) data for an optimized crystal structure of HgPI2O, as listed in Alexandria via LeMat-Bulk.

a = 5.9383 Å, b = 5.9383 Å, c = 3.5432 Å
α = 90.00°, β = 90.00°, γ = 90.00°
Last column: nearest neighbours and their distance in Å.
Space group P4/mmm (No. 123)
One atom of each set of equivalent atoms:
Hg: 0.0000 0.0000 0.0000 [1 per cell]  8 I 3.46, 2 Hg 3.54
P: 0.5000 0.5000 0.5000 [1 per cell]  2 O 1.77
I: 0.0000 0.5000 0.5000 [2 per cell]  2 P 2.97
O: 0.5000 0.5000 0.0000 [1 per cell]  2 P 1.77

Theoretical density: 6.66 g/cm³
Total magnetization: 0.00 μB per formula unit
Distance to the lowest polymorph of the same formula: 0 meV/atom
Volume: 25.0 A^3/atom